Material: NiAgWO2
Method: DFT, GGA+U
State: relaxed

The structure in POSCAR format:
```
NiAgWO2
1.0
3.837 0.000 0.000
0.000 5.725 0.000
0.000 0.000 3.837
Ni O Ag W
1 2 1 1
direct
0.000 0.500 0.000
0.500 0.000 0.000
0.000 0.000 0.500
0.500 0.500 0.500
0.000 0.000 0.000
```

Values from the calculation:
The value obtained for the volume is 84 Å³/f.u. For the final energy, the calculation gives -4.914 eV/atom.